## AcDyZr (GGA-PBE)

Data for an optimized crystal structure of AcDyZr.

Calculated values
- Density: 8.38 g/cm³
- Formation energy: 0.22 eV/atom

Cell: 3.5854 3.5854 8.5556 Å, 90.00 90.00 120.00°
Space group P3m1 (No. 156)
Asymmetric unit:
Ac (0.0000, 0.0000, 0.0000) x1
Dy (0.3333, 0.6667, 0.6270) x1
Zr (0.6667, 0.3333, 0.3256) x1

---

## LaNd12Tm2 (GGA-PBE)

Data for an optimized crystal structure of LaNd12Tm2.

Calculated values
- Density: 6.62 g/cm³
- Formation energy: 0.30 eV/atom

Cell: 6.5478 6.5478 25.8455 Å, 90.00 90.00 90.00°
Space group P4/nbm (No. 125, origin choice 2)
Asymmetric unit:
La (0.2500, 0.7500, 0.0000) x2
Nd (0.0684, 0.5684, 0.1169) x8
Nd (0.0814, 0.5814, 0.4379) x8
Nd (0.2500, 0.2500, 0.2175) x4
Nd (0.2500, 0.2500, 0.3380) x4
Tm (0.2500, 0.7500, 0.2751) x4

---

Q: Among the records above, which one has the lowest density?
A: LaNd12Tm2